Record 1
An optimized crystal structure of Nd2SmTmTl4, computed with GGA-PBE.

Unit cell a=5.4532 b=5.4532 c=26.8135 alpha=90.00 beta=90.00 gamma=120.00
Space group R-3m (No. 166, hexagonal axes)
Inequivalent atoms, fractional coordinates:
Nd: 0.0000 0.0000 0.2490 x6
Sm: 0.0000 0.0000 0.0000 x3
Tm: 0.0000 0.0000 0.5000 x3
Tl: 0.0000 0.0000 0.1259 x6
Tl: 0.0000 0.0000 0.3761 x6

Summary:
Total moment in μB per formula unit: 0.000
E_form in eV/atom: -0.36
Fermi-level density of states in states/eV/atom: 0.7839
Crystal system: trigonal
Raw total energy in eV/f.u.: -31.06

Record 2
An optimized crystal structure of TbPr4Hg5, computed with GGA-PBE.

Unit cell a=3.836 b=3.836 c=19.234 alpha=90.00 beta=90.00 gamma=90.00
Space group P4/mmm (No. 123)
Inequivalent atoms, fractional coordinates:
Tb: 0.000 0.000 0.000 x1
Pr: 0.000 0.000 0.196 x2
Pr: 0.000 0.000 0.398 x2
Hg: 0.500 0.500 0.091 x2
Hg: 0.500 0.500 0.298 x2
Hg: 0.500 0.500 0.500 x1

Summary:
Total moment in μB per formula unit: 2.156
E_form in eV/atom: -0.47
Fermi-level density of states in states/eV/atom: 1.0951
Crystal system: tetragonal
Raw total energy in eV/f.u.: -29.98

Record 3
An optimized crystal structure of ErGaC, computed with GGA-PBE.

Unit cell a=3.4680 b=3.4680 c=4.7375 alpha=90.00 beta=90.00 gamma=120.00
Space group P3m1 (No. 156)
Inequivalent atoms, fractional coordinates:
Er: 0.0000 0.0000 0.0000 x1
Ga: 0.6667 0.3333 0.5175 x1
C: 0.3333 0.6667 0.7310 x1

Summary:
Total moment in μB per formula unit: 0.000
E_form in eV/atom: -0.19
Crystal system: trigonal
Relative energy among the computed polymorphs in eV/atom: 0.0000
Raw total energy in eV/f.u.: -17.39

Record 4
An optimized crystal structure of TbPrEr4, computed with GGA-PBE.

Unit cell a=3.558 b=6.140 c=9.369 alpha=77.28 beta=79.11 gamma=73.23
Space group P-1 (No. 2)
Inequivalent atoms, fractional coordinates:
Tb: 0.000 0.000 0.000 x1
Pr: 0.000 0.500 0.500 x1
Er: 0.332 0.003 0.332 x2
Er: 0.332 0.501 0.836 x2

Summary:
Total moment in μB per formula unit: 0.014
E_form in eV/atom: 0.02
Fermi-level density of states in states/eV/atom: 1.2725
Crystal system: triclinic
Relative energy among the computed polymorphs in eV/atom: 0.0000
Raw total energy in eV/f.u.: -27.52